The following is a PBE calculation of an optimized crystal structure of SrGdPt, from OQMD.

a = 7.1113 Å, b = 7.1113 Å, c = 7.1113 Å
α = 90.00°, β = 90.00°, γ = 90.00°
Last column: nearest neighbours and their distance in Å.
Space group F-43m (No. 216)
Asymmetric unit:
Sr 0.0000 0.0000 0.0000 [4 per cell]  4 Pt 3.08
Gd 0.0000 0.0000 0.5000 [4 per cell]  4 Pt 3.08
Pt 0.2500 0.2500 0.7500 [4 per cell]  4 Gd 3.08, 4 Sr 3.08

Results
M_tot = 0.00 μB per formula unit
electronic total energy = -4.7572 eV per atom

=====

The following is a PBE calculation of an optimized crystal structure of TbGdPt2, from OQMD.

a = 4.5277 Å, b = 7.0842 Å, c = 5.5965 Å
α = 90.00°, β = 90.00°, γ = 90.00°
Last column: nearest neighbours and their distance in Å.
Space group Pmn2_1 (No. 31)
Asymmetric unit:
Tb 0.0000 0.0676 0.0000 [2 per cell]  7 Pt 2.88-3.04
Gd 0.0000 0.5682 0.7802 [2 per cell]  7 Pt 2.89-3.06
Pt 0.0000 0.2038 0.4853 [2 per cell]  4 Tb 2.88-3.04, 2 Pt 2.92, 3 Gd 3.01-3.06
Pt 0.0000 0.7071 0.2949 [2 per cell]  4 Gd 2.89-3.04, 2 Pt 2.92, 3 Tb 3.00-3.04

Results
M_tot = 0.00 μB per formula unit
electronic total energy = -6.6119 eV per atom

=====

The following is a PBE calculation of an optimized crystal structure of TbGdPt2, from OQMD.

a = 4.5263 Å, b = 5.5949 Å, c = 7.0911 Å
α = 90.00°, β = 90.00°, γ = 90.00°
Last column: nearest neighbours and their distance in Å.
Space group Pmc2_1 (No. 26)
Asymmetric unit:
Tb 0.0000 0.1098 0.0000 [2 per cell]  7 Pt 2.89-3.05
Gd 0.5000 0.3900 0.3643 [2 per cell]  7 Pt 2.88-3.06
Pt 0.0000 0.4043 0.6377 [2 per cell]  3 Tb 2.89-3.05, 2 Pt 2.92, 4 Gd 2.98-3.00
Pt 0.5000 0.0950 0.7269 [2 per cell]  3 Gd 2.88-3.06, 2 Pt 2.92, 4 Tb 2.98-3.00

Results
M_tot = 0.01 μB per formula unit
electronic total energy = -6.6117 eV per atom

=====

The following is a PBE calculation of an optimized crystal structure of TbGdPt2, from OQMD.

a = 4.5212 Å, b = 3.7595 Å, c = 10.5818 Å
α = 90.00°, β = 90.00°, γ = 90.00°
Last column: nearest neighbours and their distance in Å.
Space group Amm2 (No. 38)
Asymmetric unit:
Tb 0.0000 0.0000 0.0000 [2 per cell]  7 Pt 2.90-3.04
Gd 0.5000 0.0000 0.7237 [2 per cell]  7 Pt 2.89-3.05
Pt 0.0000 0.0000 0.2740 [2 per cell]  3 Tb 2.90-3.04, 2 Pt 2.93, 4 Gd 2.99
Pt 0.5000 0.0000 0.4504 [2 per cell]  3 Gd 2.89-3.05, 2 Pt 2.93, 4 Tb 2.99

Results
M_tot = 0.00 μB per formula unit
electronic total energy = -6.6021 eV per atom

=====

The following is a PBE calculation of an optimized crystal structure of TbGdPt4, from OQMD.

a = 7.6913 Å, b = 7.6913 Å, c = 7.6913 Å
α = 90.00°, β = 90.00°, γ = 90.00°
Last column: nearest neighbours and their distance in Å.
Space group F-43m (No. 216)
Asymmetric unit:
Tb 0.0000 0.0000 0.0000 [4 per cell]  12 Pt 3.19, 4 Gd 3.33
Gd 0.2500 0.2500 0.7500 [4 per cell]  12 Pt 3.19, 4 Tb 3.33
Pt 0.1250 0.1250 0.3750 [16 per cell]  6 Pt 2.72

Results
M_tot = 0.00 μB per formula unit
electronic total energy = -6.6863 eV per atom

=====

The following is a PBE calculation of an optimized crystal structure of GdTcPt, from OQMD.

a = 6.4832 Å, b = 6.4832 Å, c = 6.4832 Å
α = 90.00°, β = 90.00°, γ = 90.00°
Last column: nearest neighbours and their distance in Å.
Space group F-43m (No. 216)
Asymmetric unit:
Gd 0.0000 0.0000 0.0000 [4 per cell]  4 Pt 2.81
Tc 0.0000 0.0000 0.5000 [4 per cell]  4 Pt 2.81
Pt 0.2500 0.2500 0.2500 [4 per cell]  4 Gd 2.81, 4 Tc 2.81

Results
M_tot = 2.38 μB per formula unit
electronic total energy = -6.9451 eV per atom

=====

The following is a PBE calculation of an optimized crystal structure of GdTlPt4, from OQMD.

a = 7.6868 Å, b = 7.6868 Å, c = 7.6868 Å
α = 90.00°, β = 90.00°, γ = 90.00°
Last column: nearest neighbours and their distance in Å.
Space group F-43m (No. 216)
Asymmetric unit:
Gd 0.0000 0.0000 0.0000 [4 per cell]  12 Pt 3.19, 4 Tl 3.33
Tl 0.2500 0.2500 0.2500 [4 per cell]  12 Pt 3.19, 4 Gd 3.33
Pt 0.1247 0.1247 0.6247 [16 per cell]  6 Pt 2.71-2.72

Results
M_tot = 0.01 μB per formula unit
electronic total energy = -5.9316 eV per atom

=====

The following is a PBE calculation of an optimized crystal structure of GdTl4Pt2, from OQMD.

a = 8.0017 Å, b = 11.0330 Å, c = 3.8333 Å
α = 90.00°, β = 90.00°, γ = 90.00°
Last column: nearest neighbours and their distance in Å.
Space group Cmmm (No. 65)
Asymmetric unit:
Gd 0.0000 0.0000 0.0000 [2 per cell]  6 Tl 3.15
Tl 0.0000 0.2851 0.0000 [4 per cell]  4 Pt 2.80
Tl 0.1873 0.5000 0.5000 [4 per cell]  2 Pt 2.80, 1 Tl 3.00
Pt 0.2500 0.2500 0.5000 [4 per cell]  6 Tl 2.80

Results
M_tot = 0.01 μB per formula unit
electronic total energy = -3.7489 eV per atom